(1)
8
Lattice="4.087 0.000 0.000 0.000 4.087 0.000 0.000 0.000 7.872" Properties=species:S:1:pos:R:3 comment="InRePt2 (PBE-GGA, relaxed)" ef_ev_per_atom=0.157 dft_energy_ev_per_atom=-6.66 space_group="No. 119" pbc="T T T"
In 0.000 0.000 0.000
In 2.044 2.044 3.936
Re 0.000 2.044 1.968
Re 2.044 0.000 5.904
Pt 0.000 0.000 3.936
Pt 0.000 2.044 5.904
Pt 2.044 0.000 1.968
Pt 2.044 2.044 0.000

***

(2)
12
Lattice="7.062 0.000 0.000 0.000 7.062 0.000 0.000 0.000 7.062" Properties=species:S:1:pos:R:3 comment="CePrSi (PBE-GGA, relaxed)" dft_energy_ev_per_atom=-5.70 space_group="No. 216" e_above_lowest_polymorph_mev_per_atom=202 e_form_raw_ev_per_atom=-0.322 pbc="T T T"
Ce 0.000 0.000 0.000
Ce 0.000 3.531 3.531
Ce 3.531 0.000 3.531
Ce 3.531 3.531 0.000
Pr 0.000 0.000 3.531
Pr 0.000 3.531 0.000
Pr 3.531 0.000 0.000
Pr 3.531 3.531 3.531
Si 1.765 1.765 5.296
Si 1.765 5.296 1.765
Si 5.296 1.765 1.765
Si 5.296 5.296 5.296

***

(3)
16
Lattice="7.798 0.000 0.000 0.000 7.798 0.000 0.000 0.000 7.798" Properties=species:S:1:pos:R:3 comment="CsNiPb2 (PBE-GGA, relaxed)" ef_ev_per_atom=0.639 dft_energy_ev_per_atom=-2.87 space_group="No. 225" e_above_lowest_polymorph_mev_per_atom=645 pbc="T T T"
Cs 0.000 0.000 0.000
Cs 0.000 3.899 3.899
Cs 3.899 0.000 3.899
Cs 3.899 3.899 0.000
Ni 0.000 0.000 3.899
Ni 0.000 3.899 0.000
Ni 3.899 0.000 0.000
Ni 3.899 3.899 3.899
Pb 1.950 1.950 1.950
Pb 1.950 1.950 5.849
Pb 1.950 5.849 1.950
Pb 1.950 5.849 5.849
Pb 5.849 1.950 1.950
Pb 5.849 1.950 5.849
Pb 5.849 5.849 1.950
Pb 5.849 5.849 5.849